Entry 1:
# PBE-GGA Sm2HgRu, relaxed
data_Sm2HgRu
_chemical_formula_sum 'Sm8 Hg4 Ru4'
_cell_length_a 7.2569
_cell_length_b 7.2569
_cell_length_c 7.2569
_cell_angle_alpha 90.00
_cell_angle_beta 90.00
_cell_angle_gamma 90.00
_space_group_name_H-M_alt 'F m -3 m'
_space_group_IT_number 225
_space_group_name_Hall '-F 4 2 3'
loop_
_atom_site_label
_atom_site_fract_x
_atom_site_fract_y
_atom_site_fract_z
Sm1 0.2500 0.2500 0.2500
Hg1 0.0000 0.0000 0.0000
Ru1 0.0000 0.0000 0.5000
# ΔE_f, eV per formula unit: -1.14
# Total magnetic moment, μB/f.u.: 0.00
# Volume, Å³ per cell: 382.2
# Theoretical density, g/cm³: 10.47

***

Entry 2:
# PBE-GGA Sm8Hg2Ru3, relaxed
data_Sm8Hg2Ru3
_chemical_formula_sum 'Sm16 Hg4 Ru6'
_cell_length_a 9.9765
_cell_length_b 14.7111
_cell_length_c 5.0123
_cell_angle_alpha 90.00
_cell_angle_beta 90.00
_cell_angle_gamma 90.00
_space_group_name_H-M_alt 'C m m m'
_space_group_IT_number 65
_space_group_name_Hall '-C 2 2'
loop_
_atom_site_label
_atom_site_fract_x
_atom_site_fract_y
_atom_site_fract_z
Sm1 0.0000 0.1116 0.0000
Sm2 0.0000 0.3858 0.0000
Sm3 0.2466 0.3877 0.5000
Hg1 0.0000 0.2447 0.5000
Ru1 0.0000 0.5000 0.5000
Ru2 0.2493 0.5000 0.0000
# ΔE_f, eV per formula unit: -2.91
# Total magnetic moment, μB/f.u.: 0.00
# Volume, Å³ per cell: 735.6
# Theoretical density, g/cm³: 8.61

***

Entry 3:
# PBE-GGA Sm6Hg5Ru, relaxed
data_Sm6Hg5Ru
_chemical_formula_sum 'Sm12 Hg10 Ru2'
_cell_length_a 16.5883
_cell_length_b 7.5593
_cell_length_c 5.2774
_cell_angle_alpha 90.00
_cell_angle_beta 108.47
_cell_angle_gamma 90.00
_space_group_name_H-M_alt 'C 1 2/m 1'
_space_group_IT_number 12
_space_group_name_Hall '-C 2y'
loop_
_atom_site_label
_atom_site_fract_x
_atom_site_fract_y
_atom_site_fract_z
Sm1 0.0000 0.2279 0.0000
Sm2 0.1553 0.2345 0.6548
Hg1 0.0000 0.5000 0.5000
Hg2 0.1669 0.5000 0.1668
Hg3 0.1828 0.0000 0.1823
Ru1 0.0000 0.0000 0.5000
# ΔE_f, eV per formula unit: -5.38
# Total magnetic moment, μB/f.u.: 0.00
# Volume, Å³ per cell: 627.7
# Theoretical density, g/cm³: 10.61

***

Entry 4:
# PBE-GGA Sm4Hg2Ru, relaxed
data_Sm4Hg2Ru
_chemical_formula_sum 'Sm8 Hg4 Ru2'
_cell_length_a 6.0034
_cell_length_b 6.5659
_cell_length_c 10.1756
_cell_angle_alpha 90.00
_cell_angle_beta 102.92
_cell_angle_gamma 90.00
_space_group_name_H-M_alt 'P 1 21/m 1'
_space_group_IT_number 11
_space_group_name_Hall '-P 2yb'
loop_
_atom_site_label
_atom_site_fract_x
_atom_site_fract_y
_atom_site_fract_z
Sm1 0.1576 0.2500 0.0943
Sm2 0.2612 0.0063 0.7453
Sm3 0.2878 0.7500 0.4292
Hg1 0.1688 0.2500 0.4394
Hg2 0.3842 0.7500 0.0167
Ru1 0.0654 0.7500 0.1772
# ΔE_f, eV per formula unit: -1.79
# Total magnetic moment, μB/f.u.: 0.00
# Volume, Å³ per cell: 390.9
# Theoretical density, g/cm³: 9.38

***

Entry 5:
# PBE-GGA Sm6Hg2Ru, relaxed
data_Sm6Hg2Ru
_chemical_formula_sum 'Sm12 Hg4 Ru2'
_cell_length_a 3.8773
_cell_length_b 15.3970
_cell_length_c 8.5377
_cell_angle_alpha 90.00
_cell_angle_beta 90.00
_cell_angle_gamma 90.00
_space_group_name_H-M_alt 'A m m 2'
_space_group_IT_number 38
_space_group_name_Hall 'A 2 -2'
loop_
_atom_site_label
_atom_site_fract_x
_atom_site_fract_y
_atom_site_fract_z
Sm1 0.0000 0.0000 0.0000
Sm2 0.0000 0.1266 0.6617
Sm3 0.5000 0.0000 0.3754
Sm4 0.5000 0.1980 0.9867
Hg1 0.0000 0.1640 0.2848
Ru1 0.5000 0.0000 0.7364
# ΔE_f, eV per formula unit: -2.76
# Total magnetic moment, μB/f.u.: 0.00
# Volume, Å³ per cell: 509.7
# Theoretical density, g/cm³: 9.15

***

Entry 6:
# PBE-GGA Sm4HgRu2, relaxed
data_Sm4HgRu2
_chemical_formula_sum 'Sm8 Hg2 Ru4'
_cell_length_a 7.4908
_cell_length_b 7.5240
_cell_length_c 7.8742
_cell_angle_alpha 62.12
_cell_angle_beta 81.02
_cell_angle_gamma 74.95
_space_group_name_H-M_alt 'P 1'
_space_group_IT_number 1
_space_group_name_Hall 'P 1'
loop_
_atom_site_label
_atom_site_fract_x
_atom_site_fract_y
_atom_site_fract_z
Sm1 0.0000 0.0000 0.0000
Sm2 0.0011 0.5098 0.0008
Sm3 0.1449 0.2391 0.4672
Sm4 0.1532 0.7283 0.4704
Sm5 0.5412 0.8355 0.0795
Sm6 0.5697 0.3417 0.0485
Sm7 0.6502 0.3498 0.5019
Sm8 0.6792 0.8267 0.5340
Hg1 0.3066 0.2711 0.8087
Hg2 0.3137 0.7869 0.7878
Ru1 0.3013 0.5797 0.2016
Ru2 0.8691 0.6515 0.2899
Ru3 0.8852 0.1380 0.2909
Ru4 0.8931 0.4238 0.7255
# ΔE_f, eV per formula unit: -1.78
# Total magnetic moment, μB/f.u.: 0.00
# Volume, Å³ per cell: 378.5
# Theoretical density, g/cm³: 8.81

***

Entry 7:
# PBE-GGA Sm7Hg2Ru2, relaxed
data_Sm7Hg2Ru2
_chemical_formula_sum 'Sm14 Hg4 Ru4'
_cell_length_a 8.0464
_cell_length_b 11.1492
_cell_length_c 7.2505
_cell_angle_alpha 90.00
_cell_angle_beta 90.00
_cell_angle_gamma 90.00
_space_group_name_H-M_alt 'C m m m'
_space_group_IT_number 65
_space_group_name_Hall '-C 2 2'
loop_
_atom_site_label
_atom_site_fract_x
_atom_site_fract_y
_atom_site_fract_z
Sm1 0.0000 0.0000 0.0000
Sm2 0.0000 0.5000 0.2426
Sm3 0.2500 0.2500 0.2529
Hg1 0.1804 0.0000 0.5000
Ru1 0.0000 0.2946 0.0000
# ΔE_f, eV per formula unit: -2.49
# Total magnetic moment, μB/f.u.: 0.00
# Volume, Å³ per cell: 650.4
# Theoretical density, g/cm³: 8.45

***

Entry 8:
# PBE-GGA SmHgRu, relaxed
data_SmHgRu
_chemical_formula_sum 'Sm4 Hg4 Ru4'
_cell_length_a 4.1143
_cell_length_b 16.8012
_cell_length_c 4.1372
_cell_angle_alpha 90.00
_cell_angle_beta 90.00
_cell_angle_gamma 90.00
_space_group_name_H-M_alt 'C m c m'
_space_group_IT_number 63
_space_group_name_Hall '-C 2c 2'
loop_
_atom_site_label
_atom_site_fract_x
_atom_site_fract_y
_atom_site_fract_z
Sm1 0.0000 0.0995 0.2500
Hg1 0.0000 0.2970 0.2500
Ru1 0.0000 0.4649 0.2500
# ΔE_f, eV per formula unit: -0.84
# Total magnetic moment, μB/f.u.: 0.00
# Volume, Å³ per cell: 286.0
# Theoretical density, g/cm³: 10.50